Computed, not measured: Gd3Cd3AgPt2 after structural relaxation at the PBE level of DFT.

Structure (POSCAR):
```
Gd3Cd3AgPt2
1.0
-4.145 2.681 -5.942
0.846 -7.614 0.997
-3.215 -0.068 2.212
Cd Pt Ag Gd
3 2 1 3
Direct
0.000 0.740 0.000 Cd
0.260 0.260 0.000 Cd
0.740 0.000 0.000 Cd
0.667 0.333 0.000 Pt
0.333 0.667 0.000 Pt
0.000 0.000 0.500 Ag
0.000 0.415 0.500 Gd
0.415 0.000 0.500 Gd
0.585 0.585 0.500 Gd
```



Computed, not measured: BeAlMo after structural relaxation at the PBE level of DFT.

Structure (POSCAR):
```
BeAlMo
1.0
3.657 -1.788 0.448
1.956 0.212 3.591
0.371 -3.347 2.331
Mo Be Al
1 1 1
Direct
0.000 0.000 0.000 Mo
0.750 0.750 0.750 Be
0.250 0.250 0.250 Al
```

Energy relative to the lowest polymorph listed for this composition   100 meV/atom



Computed, not measured: Ta4ZnFeC2 after structural relaxation at the PBE level of DFT.

Structure (POSCAR):
```
Ta4ZnFeC2
1.0
-1.577 2.028 -1.716
1.241 -2.504 -1.318
-11.341 -6.844 2.330
Fe Zn Ta C
1 1 4 2
Direct
0.667 0.333 0.000 Fe
0.000 0.000 0.500 Zn
0.667 0.333 0.334 Ta
0.667 0.333 0.666 Ta
0.000 0.000 0.146 Ta
0.000 0.000 0.854 Ta
0.333 0.667 0.242 C
0.333 0.667 0.758 C
```



One value per record, in order, for VASP energy: -4.25 -5.30 -9.73 eV/atom.